# 1
Pd2Se4I: relaxed, GGA-PBE.

Geometry as POSCAR:
```
Pd2Se4I
1.0
-1.7252 6.8396 -1.1257
-6.6632 -2.5166 0.5401
4.3174 -1.0288 6.8940
Pd Se I
4 8 2
direct
0.6250 0.3751 0.7501
0.6250 0.8749 0.2499
0.6251 0.3749 0.2501
0.1249 0.3750 0.7499
0.9138 0.2041 0.3490
0.3363 0.5458 0.1510
0.8551 0.5648 0.6510
0.7960 0.0858 0.6508
0.4350 0.1452 0.3492
0.3948 0.1853 0.8490
0.4539 0.6643 0.8492
0.8151 0.6047 0.1508
0.2490 0.7489 0.5000
0.0011 0.0012 0.0000
```

* E_form (uncorrected): -103.5 meV/atom

# 2
CdP: relaxed, GGA-PBE.

Geometry as POSCAR:
```
CdP
1.0
1.9954 -3.4561 0.0000
1.9954 3.4561 0.0000
0.0000 0.0000 12.9056
Cd P
4 4
direct
0.3333 0.6667 0.0742
0.6667 0.3333 0.5742
0.6667 0.3333 0.9258
0.3333 0.6667 0.4258
0.0000 0.0000 0.2500
0.0000 0.0000 0.7500
0.3333 0.6667 0.7500
0.6667 0.3333 0.2500
```

* energy relative to the elements: 0.8 eV per formula unit
* polymorph energy (0 for the lowest one): 435 meV/atom

# 3
Ta2GaHPd: relaxed, GGA-PBE.

Geometry as POSCAR:
```
Ta2GaHPd
1.0
4.0009 0.0000 0.0000
0.0000 4.0009 0.0000
0.0000 0.0000 4.2868
H Ga Pd Ta
1 1 1 2
direct
0.0000 0.0000 0.0000
0.5000 0.5000 0.5000
0.0000 0.0000 0.5000
0.0000 0.5000 0.0000
0.5000 0.0000 0.0000
```

* final energy: -36.27 eV per cell

# 4
CsSnHgTe3: relaxed, GGA-PBE.

Geometry as POSCAR:
```
CsSnHgTe3
1.0
7.6187 -1.5208 1.9021
2.2266 7.4431 1.9021
5.0903 3.0620 11.2656
Cs Sn Hg Te
2 2 2 6
direct
0.5607 0.5607 0.8059
0.4393 0.4393 0.1941
0.2923 0.7077 0.5000
0.7077 0.2923 0.5000
0.9473 0.9473 0.7726
0.0527 0.0527 0.2274
0.2890 0.2890 0.5766
0.0561 0.5783 0.8295
0.5783 0.0561 0.8295
0.4217 0.9439 0.1705
0.9439 0.4217 0.1705
0.7110 0.7110 0.4234
```

* E_form (uncorrected): -367.6 meV/atom

# 5
CeThN: relaxed, GGA-PBE.

Geometry as POSCAR:
```
CeThN
1.0
-0.2497 2.1821 2.2619
0.3635 -2.2338 2.1950
6.0625 0.8778 -2.3750
Th Ce N
1 1 1
direct
0.2852 0.2852 0.5704
0.0451 0.0451 0.0902
0.6697 0.6697 0.3395
```

* E_form (uncorrected): -322.3 meV/atom
* polymorph energy (0 for the lowest one): 581 meV/atom

# 6
K2Na3NpF12: relaxed, GGA-PBE.

Geometry as POSCAR:
```
K2Na3NpF12
1.0
8.5320 0.5481 0.3888
4.6901 7.1483 0.3888
4.6901 2.7300 6.6178
K Na Np F
2 3 1 12
direct
0.5770 0.5770 0.5770
0.4230 0.4230 0.4230
0.5000 0.0000 0.0000
0.0000 0.5000 0.0000
0.0000 0.0000 0.5000
0.0000 0.0000 0.0000
0.3540 0.3540 0.8996
0.9282 0.9282 0.3038
0.3038 0.9282 0.9282
0.8996 0.3540 0.3540
0.9282 0.3038 0.9282
0.3540 0.8996 0.3540
0.6460 0.6460 0.1004
0.0718 0.0718 0.6962
0.6962 0.0718 0.0718
0.1004 0.6460 0.6460
0.0718 0.6962 0.0718
0.6460 0.1004 0.6460
```

* E_form (uncorrected): -2587.1 meV/atom

# 7
Ba2BiAs: relaxed, GGA-PBE.

Geometry as POSCAR:
```
Ba2BiAs
1.0
1.9235 -4.7764 2.9637
0.9730 0.3278 5.8518
-3.6242 -2.8114 3.7761
As Bi Ba
1 1 2
direct
0.0000 0.0000 0.0000
0.5000 0.5000 0.5000
0.2500 0.2500 0.2500
0.7500 0.7500 0.7500
```

* energy relative to the elements: -2.9 eV per formula unit

# 8
Cs4BaCu3F12: relaxed, GGA-PBE.

Geometry as POSCAR:
```
Cs4BaCu3F12
1.0
7.7271 0.0000 0.0000
-2.5757 7.2852 0.0000
-2.5757 -3.6426 6.3092
Cs Ba Cu F
4 1 3 12
direct
0.5000 0.5000 0.5000
0.0000 0.0000 0.5000
0.5000 0.0000 0.0000
0.0000 0.5000 0.0000
0.0000 0.0000 0.0000
0.5000 0.0000 0.5000
0.5000 0.5000 0.0000
0.0000 0.5000 0.5000
0.2500 0.5000 0.7500
0.7157 0.0000 0.7157
0.2843 0.0000 0.2843
0.7500 0.5000 0.2500
0.7157 0.7157 0.0000
0.2843 0.2843 0.0000
0.7500 0.2500 0.5000
0.2500 0.7500 0.5000
0.5000 0.2500 0.7500
0.0000 0.7157 0.7157
0.5000 0.7500 0.2500
0.0000 0.2843 0.2843
```

* E_form (uncorrected): -2344.3 meV/atom

Q: Number 3 is which compound?
A: Ta2GaHPd